Record 1
The following is a DFT calculation (PBE) of an optimized crystal structure of HfCoSi2.

Summary:
Uncorrected formation energy = -7.3 kJ/mol of atoms
Symmetry = I-42d (122)

a = 8.4909 Å, b = 8.4909 Å, c = 8.4909 Å
α = 152.12°, β = 152.12°, γ = 39.84°
Fractional positions:
Hf: 0.0000 0.0000 0.0000
Hf: 0.7500 0.2500 0.5000
Co: 0.2500 0.7500 0.5000
Co: 0.5000 0.5000 0.0000
Si: 0.2312 0.6250 0.1062
Si: 0.3750 0.4812 0.6062
Si: 0.5188 0.1250 0.8938
Si: 0.8750 0.7688 0.3938



Record 2
The following is a DFT calculation (PBE) of an optimized crystal structure of Te2AuSe2.

Summary:
Uncorrected formation energy = 2.3 kJ/mol of atoms
Symmetry = P-1 (2)

a = 4.1687 Å, b = 5.6561 Å, c = 7.2248 Å
α = 68.95°, β = 75.18°, γ = 73.57°
Fractional positions:
Te: 0.0747 0.1027 0.2251
Te: 0.9253 0.8973 0.7749
Au: 0.5000 0.0000 0.5000
Se: 0.2847 0.6765 0.1565
Se: 0.7153 0.3235 0.8435



Record 3
The following is a DFT calculation (PBE) of an optimized crystal structure of Nd2SmHg5.

Summary:
ΔE_f = -0.43 eV/atom
Symmetry = I4/mmm (139)

a = 8.4209 Å, b = 8.4209 Å, c = 8.4209 Å
α = 143.35°, β = 143.35°, γ = 52.79°
Fractional positions:
Nd: 0.2329 0.2329 0.0000
Nd: 0.7671 0.7671 0.0000
Sm: 0.5000 0.5000 0.0000
Hg: 0.0000 0.0000 0.0000
Hg: 0.1202 0.6202 0.5000
Hg: 0.3798 0.8798 0.5000
Hg: 0.6202 0.1202 0.5000
Hg: 0.8798 0.3798 0.5000



Record 4
The following is a DFT calculation (PBE) of an optimized crystal structure of HfTl3Co.

Summary:
ΔE_f = 0.71 eV/atom
Symmetry = Pm-3m (221)

a = 4.9713 Å, b = 4.9713 Å, c = 4.9713 Å
α = 90.00°, β = 90.00°, γ = 90.00°
Fractional positions:
Hf: 0.0000 0.0000 0.0000
Tl: 0.0000 0.5000 0.5000
Tl: 0.5000 0.0000 0.5000
Tl: 0.5000 0.5000 0.0000
Co: 0.5000 0.5000 0.5000



Record 5
The following is a DFT calculation (PBE) of an optimized crystal structure of Cs2LaB2S6.

Summary:
Uncorrected formation energy = -98.0 kJ/mol of atoms
Symmetry = C2/m (12)

a = 6.9258 Å, b = 6.9258 Å, c = 9.0210 Å
α = 112.52°, β = 112.52°, γ = 59.96°
Fractional positions:
Cs: 0.2086 0.2086 0.1267
Cs: 0.7914 0.7914 0.8733
La: 0.0000 0.0000 0.5000
B: 0.4074 0.4074 0.7208
B: 0.5926 0.5926 0.2792
S: 0.2593 0.2593 0.7295
S: 0.2600 0.7131 0.7314
S: 0.2869 0.7400 0.2686
S: 0.7131 0.2600 0.7314
S: 0.7400 0.2869 0.2686
S: 0.7407 0.7407 0.2705



Record 6
The following is a DFT calculation (PBE) of an optimized crystal structure of KAsRh2.

Summary:
ΔE_f = 0.03 eV/atom
Symmetry = Cm (8)

a = 6.0699 Å, b = 6.0699 Å, c = 5.8913 Å
α = 90.08°, β = 90.08°, γ = 28.94°
Fractional positions:
K: 0.0000 0.0000 0.0000
As: 0.7686 0.7686 0.5000
Rh: 0.1175 0.1175 0.5002
Rh: 0.4203 0.4203 0.4999



Record 7
The following is a DFT calculation (PBE) of an optimized crystal structure of BaLi2NdTl4.

Summary:
ΔE_f = -0.34 eV/atom
Symmetry = R-3m (166)

a = 11.5713 Å, b = 11.5713 Å, c = 11.5713 Å
α = 24.58°, β = 24.58°, γ = 24.58°
Fractional positions:
Ba: 0.0000 0.0000 0.0000
Li: 0.2332 0.2332 0.2332
Li: 0.7668 0.7668 0.7668
Nd: 0.5000 0.5000 0.5000
Tl: 0.1181 0.1181 0.1181
Tl: 0.3999 0.3999 0.3999
Tl: 0.6001 0.6001 0.6001
Tl: 0.8819 0.8819 0.8819



Record 8
The following is a DFT calculation (PBE) of an optimized crystal structure of BaNaB2Ir.

Summary:
ΔE_f = 0.62 eV/atom
Symmetry = P4/mmm (123)

a = 4.2848 Å, b = 4.2848 Å, c = 5.8094 Å
α = 90.00°, β = 90.00°, γ = 90.00°
Fractional positions:
Ba: 0.0000 0.0000 0.0000
Na: 0.5000 0.5000 0.0000
B: 0.0000 0.5000 0.5000
B: 0.5000 0.0000 0.5000
Ir: 0.0000 0.0000 0.5000